The following is a DFT calculation (PBE-GGA) of HfTiGe2O8 after structural relaxation.

Computed properties:
- Fermi-level density of states (states/eV/atom) = 0.000
- total magnetization (μB per cell) = 0.0
- total DFT energy (no corrections) (eV per atom) = -7.93
- symmetry = I-4m2 (119)
- calculated volume (A^3/atom) = 11.34
- formation energy (no corrections) (meV per atom) = -2365

a b c (Å): 5.6153 5.6153 5.6153
angles (deg): 108.23 108.23 111.99
Sites, in units of the cell vectors:
1 Hf 0.0000 0.0000 0.0000
2 Ti 0.7500 0.2500 0.5000
3 Ge 0.2500 0.7500 0.5000
4 Ge 0.5000 0.5000 0.0000
5 O 0.0509 0.3647 0.3137
6 O 0.0509 0.7372 0.6863
7 O 0.1109 0.3044 0.8065
8 O 0.2628 0.9491 0.3137
9 O 0.4980 0.3044 0.1935
10 O 0.6353 0.9491 0.6863
11 O 0.6956 0.5020 0.8065
12 O 0.6956 0.8891 0.1935

The following is a DFT calculation (PBE-GGA) of PaFeCoCu after structural relaxation.

Computed properties:
- Fermi-level density of states (states/eV/atom) = 0.743
- DFT formation energy (eV per formula unit) = 0.0
- total magnetization (μB per cell) = 0.0
- total DFT energy (no corrections) (eV per atom) = -7.30
- symmetry = F-43m (216)
- calculated volume (A^3/atom) = 14.46

a b c (Å): 4.3412 4.3412 4.3412
angles (deg): 60.00 60.00 60.00
Sites, in units of the cell vectors:
1 Pa 0.0000 0.0000 0.0000
2 Fe 0.7500 0.7500 0.7500
3 Co 0.2500 0.2500 0.2500
4 Cu 0.5000 0.5000 0.5000

The following is a DFT calculation (PBE-GGA) of InHgBr5 after structural relaxation.

Computed properties:
- total magnetization (μB per cell) = 0.0
- total DFT energy (no corrections) (eV per atom) = -2.21
- symmetry = C2/c (15)
- calculated volume (A^3/atom) = 39.34
- formation energy (no corrections) (meV per atom) = -585

a b c (Å): 7.8659 7.8659 10.0563
angles (deg): 108.39 108.39 93.75
Sites, in units of the cell vectors:
1 In 0.1161 0.8839 0.7500
2 In 0.8839 0.1161 0.2500
3 Hg 0.5000 0.5000 0.0000
4 Hg 0.5000 0.5000 0.5000
5 Br 0.1613 0.2349 0.8387
6 Br 0.2135 0.7430 0.5281
7 Br 0.2349 0.1613 0.3387
8 Br 0.2570 0.7865 0.9719
9 Br 0.4143 0.5857 0.2500
10 Br 0.5857 0.4143 0.7500
11 Br 0.7430 0.2135 0.0281
12 Br 0.7651 0.8387 0.6613
13 Br 0.7865 0.2570 0.4719
14 Br 0.8387 0.7651 0.1613

The following is a DFT calculation (PBE-GGA) of Rb2PuCdCl6 after structural relaxation.

Computed properties:
- Fermi-level density of states (states/eV/atom) = 1.440
- total magnetization (μB per cell) = 11.9
- total DFT energy (no corrections) (eV per atom) = -4.47
- symmetry = Pmmn (59)
- calculated volume (A^3/atom) = 33.42
- formation energy (no corrections) (meV per atom) = -1644

a b c (Å): 7.7695 11.0196 7.8058
angles (deg): 90.00 90.00 90.00
Sites, in units of the cell vectors:
1 Rb 0.2500 0.0120 0.2429
2 Rb 0.2500 0.4880 0.2429
3 Rb 0.7500 0.5120 0.7571
4 Rb 0.7500 0.9880 0.7571
5 Pu 0.2500 0.2500 0.7468
6 Pu 0.7500 0.7500 0.2532
7 Cd 0.2500 0.7500 0.7518
8 Cd 0.7500 0.2500 0.2482
9 Cl 0.0015 0.2500 0.9989
10 Cl 0.0042 0.2500 0.4926
11 Cl 0.2500 0.0000 0.7538
12 Cl 0.2500 0.5000 0.7538
13 Cl 0.4958 0.2500 0.4926
14 Cl 0.4985 0.2500 0.9989
15 Cl 0.5015 0.7500 0.0011
16 Cl 0.5042 0.7500 0.5074
17 Cl 0.7500 0.0000 0.2462
18 Cl 0.7500 0.5000 0.2462
19 Cl 0.9958 0.7500 0.5074
20 Cl 0.9985 0.7500 0.0011

The following is a DFT calculation (PBE-GGA) of AcNdSm14 after structural relaxation.

Computed properties:
- Fermi-level density of states (states/eV/atom) = 1.870
- DFT formation energy (eV per formula unit) = 0.6
- total magnetization (μB per cell) = 0.0
- total DFT energy (no corrections) (eV per atom) = -4.65
- symmetry = Amm2 (38)
- calculated volume (A^3/atom) = 34.85

a b c (Å): 11.7958 7.3854 7.3854
angles (deg): 60.06 90.00 90.00
Sites, in units of the cell vectors:
1 Ac 0.0000 0.0000 0.0000
2 Nd 0.0000 0.4999 0.4999
3 Sm 0.0000 0.0027 0.4996
4 Sm 0.0000 0.4996 0.0027
5 Sm 0.2506 0.6678 0.6678
6 Sm 0.2535 0.1685 0.1685
7 Sm 0.2543 0.1688 0.6658
8 Sm 0.2543 0.6658 0.1688
9 Sm 0.5000 0.0004 0.5007
10 Sm 0.5000 0.0008 0.0008
11 Sm 0.5000 0.5007 0.0004
12 Sm 0.5000 0.5011 0.5011
13 Sm 0.7465 0.1685 0.1685
14 Sm 0.7457 0.1688 0.6658
15 Sm 0.7457 0.6658 0.1688
16 Sm 0.7494 0.6678 0.6678

The following is a DFT calculation (PBE-GGA) of ZrCdOs after structural relaxation.

Computed properties:
- DFT formation energy (eV per formula unit) = -0.2
- total magnetization (μB per cell) = 0.0
- total DFT energy (no corrections) (eV per atom) = -6.97
- symmetry = I4mm (107)
- calculated volume (A^3/atom) = 19.03

a b c (Å): 5.3917 5.3917 5.3917
angles (deg): 142.73 142.73 53.73
Sites, in units of the cell vectors:
1 Zr 0.0000 0.0000 0.0000
2 Cd 0.3080 0.3080 0.0000
3 Os 0.6323 0.6323 0.0000

The following is a DFT calculation (PBE-GGA) of KCu3Sn after structural relaxation.

Computed properties:
- Fermi-level density of states (states/eV/atom) = 0.036
- DFT formation energy (eV per formula unit) = 1.6
- total magnetization (μB per cell) = 0.0
- total DFT energy (no corrections) (eV per atom) = -3.16
- symmetry = Pm-3m (221)
- calculated volume (A^3/atom) = 25.32

a b c (Å): 5.0214 5.0214 5.0214
angles (deg): 90.00 90.00 90.00
Sites, in units of the cell vectors:
1 K 0.0000 0.0000 0.0000
2 Cu 0.0000 0.5000 0.5000
3 Cu 0.5000 0.0000 0.5000
4 Cu 0.5000 0.5000 0.0000
5 Sn 0.5000 0.5000 0.5000

The following is a DFT calculation (PBE-GGA) of Bi4RhAu after structural relaxation.

Computed properties:
- Fermi-level density of states (states/eV/atom) = 0.405
- DFT formation energy (eV per formula unit) = -0.6
- total magnetization (μB per cell) = 0.0
- total DFT energy (no corrections) (eV per atom) = -4.45
- symmetry = C2/c (15)
- calculated volume (A^3/atom) = 27.23

a b c (Å): 7.9645 7.9645 6.4055
angles (deg): 106.03 106.03 112.22
Sites, in units of the cell vectors:
1 Bi 0.0469 0.7060 0.9121
2 Bi 0.2225 0.3479 0.6951
3 Bi 0.2940 0.9531 0.5879
4 Bi 0.3479 0.2225 0.1951
5 Bi 0.6521 0.7775 0.8049
6 Bi 0.7060 0.0469 0.4121
7 Bi 0.7775 0.6521 0.3049
8 Bi 0.9531 0.2940 0.0879
9 Rh 0.0062 0.9938 0.2500
10 Rh 0.9938 0.0062 0.7500
11 Au 0.3683 0.6317 0.2500
12 Au 0.6317 0.3683 0.7500

The following is a DFT calculation (PBE-GGA) of LiY2Ir after structural relaxation.

Computed properties:
- Fermi-level density of states (states/eV/atom) = 0.810
- DFT formation energy (eV per formula unit) = -0.7
- total magnetization (μB per cell) = 0.0
- total DFT energy (no corrections) (eV per atom) = -6.10
- symmetry = P4mm (99)
- calculated volume (A^3/atom) = 23.44

a b c (Å): 3.9305 3.9305 6.0692
angles (deg): 90.00 90.00 90.00
Sites, in units of the cell vectors:
1 Li 0.0000 0.0000 0.0000
2 Y 0.0000 0.0000 0.5655
3 Y 0.5000 0.5000 0.2097
4 Ir 0.5000 0.5000 0.6871

The following is a DFT calculation (PBE-GGA) of Li3CaY after structural relaxation.

Computed properties:
- Fermi-level density of states (states/eV/atom) = 1.638
- DFT formation energy (eV per formula unit) = 3.7
- total magnetization (μB per cell) = 0.9
- total DFT energy (no corrections) (eV per atom) = -2.09
- symmetry = Pm-3m (221)
- calculated volume (A^3/atom) = 33.48

a b c (Å): 5.5112 5.5112 5.5112
angles (deg): 90.00 90.00 90.00
Sites, in units of the cell vectors:
1 Li 0.0000 0.0000 0.5000
2 Li 0.0000 0.5000 0.0000
3 Li 0.5000 0.0000 0.0000
4 Ca 0.5000 0.5000 0.5000
5 Y 0.0000 0.0000 0.0000

The following is a DFT calculation (PBE-GGA) of Na5B7C3 after structural relaxation.

Computed properties:
- Fermi-level density of states (states/eV/atom) = 0.177
- DFT formation energy (eV per formula unit) = 1.9
- total magnetization (μB per cell) = 0.0
- total DFT energy (no corrections) (eV per atom) = -5.28
- symmetry = Cm (8)
- calculated volume (A^3/atom) = 10.37

a b c (Å): 9.0542 9.0542 13.3677
angles (deg): 112.93 112.93 18.00
Sites, in units of the cell vectors:
1 Na 0.0000 0.0000 0.0000
2 Na 0.0003 0.0003 0.4955
3 Na 0.1976 0.1976 0.3963
4 Na 0.2020 0.2020 0.8967
5 Na 0.3979 0.3979 0.7987
6 Na 0.4017 0.4017 0.2960
7 Na 0.5990 0.5990 0.1988
8 Na 0.6003 0.6003 0.6968
9 Na 0.7981 0.7981 0.5955
10 Na 0.8015 0.8015 0.0976
11 B 0.0348 0.0348 0.8174
12 B 0.1630 0.1630 0.5729
13 B 0.2322 0.2322 0.2123
14 B 0.3642 0.3642 0.4753
15 B 0.3726 0.3726 0.9939
16 B 0.4277 0.4277 0.6028
17 B 0.5667 0.5667 0.3793
18 B 0.5742 0.5742 0.8952
19 B 0.6407 0.6407 0.0299
20 B 0.7597 0.7597 0.7673
21 B 0.8230 0.8230 0.3928
22 B 0.8319 0.8319 0.9127
23 B 0.9694 0.9694 0.1859
24 B 0.9699 0.9699 0.6879
25 C 0.0347 0.0347 0.3149
26 C 0.1693 0.1693 0.0884
27 C 0.2282 0.2282 0.7039
28 C 0.4366 0.4366 0.1214
29 C 0.6314 0.6314 0.5091
30 C 0.7629 0.7629 0.2729

The following is a DFT calculation (PBE-GGA) of MnBeIr2 after structural relaxation.

Computed properties:
- Fermi-level density of states (states/eV/atom) = 0.720
- DFT formation energy (eV per formula unit) = -0.8
- total magnetization (μB per cell) = 3.4
- total DFT energy (no corrections) (eV per atom) = -7.86
- symmetry = C2/m (12)
- calculated volume (A^3/atom) = 12.90

a b c (Å): 4.5094 4.5094 4.5787
angles (deg): 108.12 108.12 35.92
Sites, in units of the cell vectors:
1 Mn 0.0000 0.0000 0.0000
2 Be 0.5000 0.5000 0.5000
3 Ir 0.2280 0.2280 0.7321
4 Ir 0.7720 0.7720 0.2679